[1]
A plane-wave DFT calculation with GGA-PBEsol was carried out for an optimized crystal structure of InPBr2.

Values from the calculation:
The total energy is -3.368 eV/atom. The formation energy from raw total energies is -0.24 eV/atom. Its crystal system is monoclinic. Its energy above the most stable polymorph in this dataset is 0.0000 eV/atom.

a b c (Å): 4.899 4.250 6.022
angles (deg): 90.00 112.23 90.00
Space group Pm (No. 6)
Unique sites:
In 0.000 0.000 0.000 x1
P 0.888 0.500 0.752 x1
Br 0.306 0.500 0.659 x1
Br 0.619 0.000 0.238 x1

=====

[2]
A plane-wave DFT calculation with GGA-PBEsol was carried out for an optimized crystal structure of InPBr.

Values from the calculation:
The total energy is -3.271 eV/atom. The formation energy from raw total energies is 0.28 eV/atom. Its crystal system is cubic. Its energy above the most stable polymorph in this dataset is 0.0000 eV/atom.

a b c (Å): 6.633 6.633 6.633
angles (deg): 90.00 90.00 90.00
Space group F-43m (No. 216)
Unique sites:
In 0.000 0.000 0.000 x4
P 0.250 0.250 0.750 x4
Br 0.000 0.000 0.500 x4

=====

[3]
A plane-wave DFT calculation with GGA-PBEsol was carried out for an optimized crystal structure of InPBr4.

Values from the calculation:
The total energy is -2.014 eV/atom. The formation energy from raw total energies is 0.70 eV/atom. Its crystal system is cubic.

a b c (Å): 8.752 8.752 8.752
angles (deg): 90.00 90.00 90.00
Space group F-43m (No. 216)
Unique sites:
In 0.000 0.000 0.000 x4
P 0.250 0.250 0.250 x4
Br 0.125 0.125 0.625 x16

=====

[4]
A plane-wave DFT calculation with GGA-PBEsol was carried out for an optimized crystal structure of In2P2Br.

Values from the calculation:
The total energy is -3.933 eV/atom. The formation energy from raw total energies is -0.05 eV/atom. Its crystal system is tetragonal.

a b c (Å): 3.392 3.392 19.828
angles (deg): 90.00 90.00 90.00
Space group I4/mmm (No. 139)
Unique sites:
In 0.000 0.000 0.110 x4
P 0.000 0.500 0.250 x4
Br 0.000 0.000 0.500 x2

=====

Question: Which of these has the lowest formation energy from raw total energies?
Answer: InPBr2